# 1
PBE Ac3GaSb2Pd9, optimized geometry; E_form (uncorrected) = -0.610 eV per atom; Fermi-level density of states = 7.31 states/eV/cell; magnetic moment = 0.00 μB per cell; DFT total energy = -79.48 eV for the cell shown
1.0
6.8531 0.0000 0.0000
-3.4266 5.9350 0.0000
0.0000 0.0000 9.0151
Ac Ga Sb Pd
3 1 2 9
Direct
0.0000 0.0000 0.0000
0.3333 0.6667 0.7012
0.6667 0.3333 0.2988
0.0000 0.0000 0.5000
0.3333 0.6667 0.1950
0.6667 0.3333 0.8050
0.0000 0.5000 0.0000
0.1343 0.2686 0.2905
0.1343 0.8657 0.2905
0.2686 0.1343 0.7095
0.5000 0.0000 0.0000
0.5000 0.5000 0.0000
0.7314 0.8657 0.2905
0.8657 0.1343 0.7095
0.8657 0.7314 0.7095



# 2
PBE Ac2Ga3SbPd4, optimized geometry; E_form (uncorrected) = -0.825 eV per atom; Fermi-level density of states = 5.41 states/eV/cell; magnetic moment = 0.00 μB per cell; DFT total energy = -50.44 eV for the cell shown
1.0
4.6374 0.0000 0.0000
0.0000 4.6374 0.0000
0.0000 0.0000 10.1200
Ac Ga Sb Pd
2 3 1 4
Direct
0.0000 0.5000 0.2422
0.5000 0.0000 0.7578
0.0000 0.5000 0.8898
0.5000 0.0000 0.1102
0.5000 0.5000 0.5000
0.0000 0.0000 0.5000
0.0000 0.0000 0.0000
0.0000 0.5000 0.6383
0.5000 0.0000 0.3617
0.5000 0.5000 0.0000



# 3
PBE Ac3Ga2SbPd9, optimized geometry; E_form (uncorrected) = -0.571 eV per atom; Fermi-level density of states = 9.30 states/eV/cell; magnetic moment = 0.00 μB per cell; DFT total energy = -77.81 eV for the cell shown
1.0
7.4909 0.0000 0.0000
-3.7454 6.4873 0.0000
0.0000 0.0000 7.0863
Ac Ga Sb Pd
3 2 1 9
Direct
0.0000 0.0000 0.0000
0.3333 0.6667 0.6633
0.6667 0.3333 0.3367
0.3333 0.6667 0.1504
0.6667 0.3333 0.8496
0.0000 0.0000 0.5000
0.0000 0.5000 0.0000
0.1748 0.3496 0.3270
0.1748 0.8252 0.3270
0.3496 0.1748 0.6730
0.5000 0.0000 0.0000
0.5000 0.5000 0.0000
0.6504 0.8252 0.3270
0.8252 0.1748 0.6730
0.8252 0.6504 0.6730



# 4
PBE AcScGa2Pd2, optimized geometry; Fermi-level density of states = 3.38 states/eV/cell; magnetic moment = 0.00 μB per cell; DFT total energy = -31.92 eV for the cell shown
1.0
4.5215 0.0000 0.0000
-2.2607 3.9157 0.0000
0.0000 0.0000 7.1657
Ac Sc Ga Pd
1 1 2 2
Direct
0.0000 0.0000 0.0000
0.0000 0.0000 0.5000
0.3333 0.6667 0.3106
0.6667 0.3333 0.6894
0.3333 0.6667 0.6958
0.6667 0.3333 0.3042